Record 1
This record from Alexandria describes GePdN2F after structural relaxation. The functional is PBE-GGA.

The calculation puts the energy relative to the lowest polymorph listed for this composition at 0.0 meV per atom. The uncorrected formation energy comes out at 53.4 kJ per mole of atoms.

The space group is P4/mmm (No. 123) and the conventional cell measures 3.8434, 3.8434 and 3.7587 Å, with angles of 90.00, 90.00 and 90.00 degrees. The inequivalent atoms are Ge at (0.0000, 0.0000, 0.0000), Pd at (0.5000, 0.5000, 0.5000), N at (0.0000, 0.5000, 0.0000) and F at (0.0000, 0.0000, 0.5000).


Record 2
This record from Alexandria describes CaY3 after structural relaxation. The functional is PBE-GGA.

The formation enthalpy at 0 K is 0.1503 eV per atom.

The space group is R-3m (No. 166, hexagonal axes) and the conventional cell measures 11.6473, 11.6473 and 3.4917 Å, with angles of 90.00, 90.00 and 120.00 degrees. The inequivalent atoms are Ca at (0.0000, 0.0000, 0.0000) and Y at (0.0000, 0.5000, 0.0000).


Record 3
This record from Alexandria describes AcNdEu after structural relaxation. The functional is PBE-GGA.

The formation enthalpy at 0 K is 0.0246 eV per atom. The calculation puts the energy relative to the lowest polymorph listed for this composition at 0.0 meV per atom.

The space group is I4mm (No. 107) and the conventional cell measures 3.8839, 3.8839 and 16.1208 Å, with angles of 90.00, 90.00 and 90.00 degrees. The inequivalent atoms are Ac at (0.0000, 0.0000, 0.0000), Nd at (0.0000, 0.0000, 0.3420) and Eu at (0.0000, 0.0000, 0.6780).


Record 4
This record from Alexandria describes MgSc5Ga4 after structural relaxation. The functional is PBE-GGA.

The formation enthalpy at 0 K is -0.4909 eV per atom.

The space group is P4/mmm (No. 123) and the conventional cell measures 3.3909, 3.3909 and 17.0996 Å, with angles of 90.00, 90.00 and 90.00 degrees. The inequivalent atoms are Mg at (0.0000, 0.0000, 0.0000), Sc at (0.5000, 0.5000, 0.1127), Sc at (0.5000, 0.5000, 0.3060), Sc at (0.5000, 0.5000, 0.5000), Ga at (0.0000, 0.0000, 0.2062) and Ga at (0.0000, 0.0000, 0.4029).


These records have density values of 6.76, 3.73, 7.15, 4.46 g/cm3, in the order they appear.